# ScCuAg4

A relaxed ScCuAg4 crystal (GGA-PBE, the Alexandria database).

- Crystal system: cubic
- E_form: 0.09 eV/atom
- DOS at the Fermi energy: 1.066 states/eV/atom
- Total magnetic moment: 0.00 μB/f.u.
- Calculated total energy: -3.55 eV per atom

Lattice parameters (Å, degrees): 5.432 5.432 5.432 60.00 60.00 60.00
Fractional coordinates of all 6 atoms:
1 Sc 0.000 0.000 0.000
2 Cu 0.750 0.750 0.750
3 Ag 0.874 0.375 0.375
4 Ag 0.375 0.375 0.874
5 Ag 0.375 0.874 0.375
6 Ag 0.375 0.375 0.375